The following is a GGA-PBE calculation of a relaxed structure of CsTl3Rh, from the Alexandria database.

Calculated values
- Density: 5.81 Mg/m³
- Formation energy from the elements: 40.4 kJ per mole of atoms
- Space-group type: I-4m2 (119)

Cell lengths 5.6525, 5.6525, 15.7177 Å; angles 79.64, 79.64, 90.00 degrees
Positions (direct):
Cs1 0.6567 0.1567 0.6867
Cs2 0.8433 0.3433 0.3133
Tl1 0.1841 0.9283 0.1434
Tl2 0.0717 0.8159 0.8566
Tl3 0.0717 0.3275 0.8566
Tl4 0.6725 0.9283 0.1434
Tl5 0.2497 0.2497 0.5007
Tl6 0.7503 0.7503 0.4993
Rh1 0.0000 0.0000 0.0000
Rh2 0.2500 0.7500 0.5000